Entry 1:
A relaxed Na3Nb2WN6 crystal, computed with PBE-GGA.

a b c (Å): 5.3778 5.3778 6.0064
angles (deg): 98.59 98.59 120.00
Element x y z (fractional)
Na 0.1673 0.8327 0.5000
Na 0.8327 0.1673 0.5000
Na 0.5000 0.5000 0.5000
Nb 0.3334 0.6666 0.0000
Nb 0.6666 0.3334 0.0000
W 0.0000 0.0000 0.0000
N 0.9337 0.6095 0.8015
N 0.7417 0.7417 0.1981
N 0.0663 0.3905 0.1985
N 0.6095 0.9337 0.8015
N 0.2583 0.2583 0.8019
N 0.3905 0.0663 0.1985

Values from the calculation:
**Crystal system**: monoclinic
**ρ**: 6.046 g/cm³

=====

Entry 2:
A relaxed Na3Nd12N5 crystal, computed with PBE-GGA.

a b c (Å): 14.2842 14.2842 14.2842
angles (deg): 109.47 109.47 109.47
Element x y z (fractional)
Na 0.7500 0.3750 0.1250
Na 0.8750 0.7500 0.1250
Na 0.3750 0.7500 0.6250
Na 0.2500 0.1250 0.3750
Na 0.8750 0.1250 0.2500
Na 0.3750 0.6250 0.2500
Na 0.6250 0.3750 0.7500
Na 0.1250 0.8750 0.7500
Na 0.7500 0.8750 0.6250
Na 0.6250 0.2500 0.3750
Na 0.1250 0.2500 0.8750
Na 0.2500 0.6250 0.8750
N 0.1250 0.3750 0.2500
N 0.0000 0.5000 0.0000
N 0.0000 0.0000 0.0000
N 0.3750 0.2500 0.1250
N 0.5000 0.0000 0.5000
N 0.5000 0.5000 0.0000
N 0.1250 0.7500 0.3750
N 0.7500 0.1250 0.8750
N 0.7500 0.6250 0.3750
N 0.3750 0.1250 0.7500
N 0.6250 0.8750 0.2500
N 0.5000 0.5000 0.5000
N 0.5000 0.0000 0.0000
N 0.0000 0.0000 0.5000
N 0.2500 0.3750 0.6250
N 0.2500 0.8750 0.1250
N 0.0000 0.5000 0.5000
N 0.8750 0.2500 0.6250
N 0.6250 0.7500 0.8750
N 0.8750 0.6250 0.7500
Nd 0.6909 0.1015 0.0031
Nd 0.3122 0.5031 0.4016
Nd 0.9969 0.3985 0.3091
Nd 0.5031 0.1909 0.1015
Nd 0.5894 0.6909 0.6878
Nd 0.9969 0.5984 0.1878
Nd 0.3122 0.8091 0.4106
Nd 0.0984 0.9106 0.1015
Nd 0.5984 0.9969 0.6878
Nd 0.6909 0.5894 0.1878
Nd 0.8091 0.4969 0.3985
Nd 0.8122 0.9016 0.0031
Nd 0.1015 0.6909 0.5031
Nd 0.3985 0.4016 0.0894
Nd 0.0894 0.9016 0.3985
Nd 0.4106 0.1015 0.5984
Nd 0.0894 0.1878 0.1909
Nd 0.4969 0.6878 0.0984
Nd 0.8122 0.9106 0.3091
Nd 0.1015 0.4106 0.0984
Nd 0.3985 0.9969 0.8091
Nd 0.5984 0.6015 0.4106
Nd 0.9016 0.8122 0.5031
Nd 0.8091 0.3122 0.9106
Nd 0.4016 0.3985 0.5894
Nd 0.0984 0.1878 0.4969
Nd 0.1909 0.6878 0.0894
Nd 0.1878 0.0894 0.6909
Nd 0.6015 0.0031 0.1909
Nd 0.8985 0.5894 0.9016
Nd 0.5031 0.3122 0.9016
Nd 0.5894 0.8985 0.4016
Nd 0.9106 0.8122 0.8091
Nd 0.9106 0.0984 0.6015
Nd 0.8985 0.3091 0.4969
Nd 0.1878 0.0984 0.9969
Nd 0.6015 0.5984 0.9106
Nd 0.4016 0.0031 0.3122
Nd 0.3091 0.4106 0.8122
Nd 0.1909 0.5031 0.6015
Nd 0.9016 0.0894 0.8985
Nd 0.6878 0.1909 0.5894
Nd 0.4969 0.8091 0.8985
Nd 0.0031 0.4016 0.8122
Nd 0.4106 0.3091 0.3122
Nd 0.0031 0.6015 0.6909
Nd 0.6878 0.4969 0.5984
Nd 0.3091 0.8985 0.9969

Values from the calculation:
**Crystal system**: cubic
**ρ**: 5.536 g/cm³

=====

Entry 3:
A relaxed NaNd2N crystal, computed with PBE-GGA.

a b c (Å): 3.6073 3.6073 10.3087
angles (deg): 79.92 79.92 60.00
Element x y z (fractional)
Na 0.0000 0.0000 0.0000
Nd 0.1213 0.1213 0.6361
Nd 0.8787 0.8787 0.3639
N 0.5000 0.5000 0.5000

Values from the calculation:
**Crystal system**: trigonal
**Polymorph energy (0 for the lowest one)**: 0.00 kcal/mol of atoms
**ρ**: 4.750 g/cm³

=====

Entry 4:
A relaxed NaNd2N crystal, computed with PBE-GGA.

a b c (Å): 3.2031 3.2031 9.6743
angles (deg): 90.00 90.00 90.00
Element x y z (fractional)
Na 0.5000 0.5000 0.2500
Nd 0.0000 0.0000 0.9035
Nd 0.0000 0.0000 0.5965
N 0.5000 0.5000 0.7500

Values from the calculation:
**Crystal system**: tetragonal
**Polymorph energy (0 for the lowest one)**: 10.68 kcal/mol of atoms
**ρ**: 5.445 g/cm³

=====

Entry 5:
A relaxed NaNd2NpN4 crystal, computed with PBE-GGA.

a b c (Å): 4.9364 4.9364 6.2290
angles (deg): 113.34 113.34 90.02
Each line ends with the local moment (μB).
Element x y z (fractional)
Na 0.4364 0.4364 0.0001  0.00
Nd 0.1837 0.6837 0.5000  0.02
Nd 0.6837 0.1837 0.5000  0.02
Np 0.9271 0.9271 0.0000  1.87
N 0.9388 0.4625 0.0000  -0.11
N 0.4625 0.9388 0.0000  -0.11
N 0.1342 0.1342 0.4032  -0.06
N 0.7310 0.7310 0.5967  -0.06

Values from the calculation:
**Crystal system**: orthorhombic
**ρ**: 7.984 g/cm³

=====

Entry 6:
A relaxed Na2NdPN4 crystal, computed with PBE-GGA.

a b c (Å): 5.8775 5.2161 5.2161
angles (deg): 74.35 55.71 55.71
Each line ends with the local moment (μB).
Element x y z (fractional)
Na 0.5000 0.7500 0.2500  0.01
Na 0.5000 0.2500 0.7500  0.01
Nd 0.0000 0.0000 0.0000  0.01
P 0.0000 0.5000 0.5000  -0.03
N 0.6677 0.5237 0.8086  0.35
N 0.3323 0.1914 0.4763  0.35
N 0.0000 0.4763 0.1914  0.35
N 0.0000 0.8086 0.5237  0.35

Values from the calculation:
**Crystal system**: tetragonal
**ρ**: 4.228 g/cm³

=====

Entry 7:
A relaxed Na4NdPa3N8 crystal, computed with PBE-GGA.

a b c (Å): 7.1546 7.0535 7.1949
angles (deg): 120.53 119.81 90.00
Element x y z (fractional)
Na 0.5000 0.0000 0.0000
Na 0.5000 0.0000 0.5000
Na 0.0000 0.0000 0.0000
Na 0.0000 0.0000 0.5000
Nd 0.0000 0.5000 0.0000
Pa 0.5000 0.5000 0.0000
Pa 0.5000 0.5000 0.5000
Pa 0.0000 0.5000 0.5000
N 0.2424 0.6873 0.9499
N 0.2398 0.6874 0.4796
N 0.2667 0.3064 0.5333
N 0.7075 0.6873 0.9499
N 0.2925 0.3127 0.0501
N 0.7333 0.6936 0.4667
N 0.7602 0.3126 0.5204
N 0.7576 0.3127 0.0501

Values from the calculation:
**Crystal system**: monoclinic
**ρ**: 6.771 g/cm³

=====

Entry 8:
A relaxed NaNdPa4N8 crystal, computed with PBE-GGA.

a b c (Å): 7.1068 7.1068 6.7596
angles (deg): 58.29 58.29 60.00
Element x y z (fractional)
Na 0.0008 0.0008 0.9975
Nd 0.3796 0.3796 0.8612
Pa 0.6044 0.6044 0.1868
Pa 0.9989 0.4964 0.5058
Pa 0.4964 0.9989 0.5058
Pa 0.9989 0.9989 0.5058
N 0.2614 0.7919 0.6853
N 0.7919 0.2614 0.6853
N 0.2614 0.2614 0.6853
N 0.2327 0.2327 0.3020
N 0.7465 0.2280 0.2790
N 0.2280 0.7465 0.2790
N 0.7465 0.7465 0.2790
N 0.7526 0.7526 0.7421

Values from the calculation:
**Crystal system**: trigonal
**ρ**: 8.505 g/cm³

=====

Entry 9:
A relaxed NaNdReN3 crystal, computed with PBE-GGA.

a b c (Å): 3.9076 7.1761 7.0769
angles (deg): 106.29 90.00 105.80
Element x y z (fractional)
Na 0.3647 0.7294 0.9252
Na 0.6353 0.2706 0.0748
Nd 0.6659 0.3317 0.6070
Nd 0.3341 0.6683 0.3930
Re 0.0041 0.0082 0.3130
Re 0.9959 0.9918 0.6870
N 0.8650 0.7301 0.1719
N 0.8465 0.6931 0.6452
N 0.5093 0.0186 0.3104
N 0.1535 0.3069 0.3548
N 0.4907 0.9814 0.6896
N 0.1350 0.2699 0.8281

Values from the calculation:
**Crystal system**: monoclinic
**ρ**: 7.190 g/cm³

=====

Entry 10:
A relaxed NaNd2Re2N6 crystal, computed with PBE-GGA.

a b c (Å): 6.3099 6.3756 6.8969
angles (deg): 115.09 94.83 55.35
Element x y z (fractional)
Na 0.5000 0.0000 0.5000
Nd 0.8459 0.3802 0.7664
Nd 0.1541 0.6198 0.2336
Re 0.1190 0.7819 0.8047
Re 0.8810 0.2181 0.1953
N 0.4135 0.7468 0.7619
N 0.8392 0.5143 0.1661
N 0.9115 0.8977 0.6195
N 0.1608 0.4857 0.8339
N 0.0885 0.1023 0.3805
N 0.5865 0.2532 0.2381

Values from the calculation:
**Crystal system**: triclinic
**ρ**: 6.310 g/cm³

=====

Entry 11:
A relaxed NaNdTcN3 crystal, computed with PBE-GGA.

a b c (Å): 3.8980 7.1937 7.0271
angles (deg): 106.78 90.00 105.72
Element x y z (fractional)
Na 0.3675 0.7350 0.9227
Na 0.6325 0.2650 0.0773
Nd 0.6656 0.3313 0.6041
Nd 0.3344 0.6687 0.3959
Tc 0.0023 0.0045 0.3096
Tc 0.9977 0.9955 0.6904
N 0.8649 0.7299 0.1692
N 0.8454 0.6909 0.6406
N 0.5093 0.0186 0.3099
N 0.1546 0.3091 0.3594
N 0.4907 0.9814 0.6901
N 0.1351 0.2701 0.8308

Values from the calculation:
**Crystal system**: monoclinic
**ρ**: 5.639 g/cm³

=====

Entry 12:
A relaxed Na2NdTc2N4 crystal, computed with PBE-GGA.

a b c (Å): 3.4663 7.3645 8.7395
angles (deg): 136.87 90.00 103.61
Element x y z (fractional)
Na 0.8539 0.7078 0.4486
Na 0.1461 0.2922 0.5514
Nd 0.0000 0.0000 0.0000
Tc 0.3488 0.6976 0.0785
Tc 0.6512 0.3024 0.9215
N 0.7801 0.5602 0.8878
N 0.2199 0.4398 0.1122
N 0.5368 0.0736 0.2455
N 0.4632 0.9264 0.7545

Values from the calculation:
**Crystal system**: monoclinic
**ρ**: 5.129 g/cm³

=====

Number 1: formation energy (no corrections) -0.599 eV per atom. Number 2: formation energy (no corrections) -0.399 eV per atom. Number 3: formation energy (no corrections) -0.568 eV per atom. Number 4: formation energy (no corrections) -0.105 eV per atom. Number 5: formation energy (no corrections) -1.067 eV per atom. Number 6: formation energy (no corrections) -0.307 eV per atom. Number 7: formation energy (no corrections) -0.984 eV per atom. Number 8: formation energy (no corrections) -1.385 eV per atom. Number 9: formation energy (no corrections) -0.485 eV per atom. Number 10: formation energy (no corrections) -0.557 eV per atom. Number 11: formation energy (no corrections) -0.394 eV per atom. Number 12: formation energy (no corrections) -0.351 eV per atom.